# 1
{"formula": "Ca2TaMn", "functional": "PBE-GGA", "state": "optimized geometry", "lattice_angstrom": [[3.3773, 0.0000, 0.0000], [0.0000, 3.3828, 0.0000], [-0.0127, 0.0000, 8.8560]], "species": ["Ca", "Ca", "Ta", "Mn"], "fractional_positions": [[0.0000, 0.0000, 0.0000], [0.4991, 0.5000, 0.3742], [0.9996, 0.0000, 0.6441], [0.4999, 0.5000, 0.7485]], "e_form_kj_per_mol_atoms": 30, "dos_at_fermi_per_ev_cell": 5.1, "relative_energy_mev_per_atom": 0, "mass_density_g_cm3": 5.19}

---

# 2
{"formula": "BaTaAs2", "functional": "PBE-GGA", "state": "optimized geometry", "lattice_angstrom": [[3.7876, 0.0000, 0.0000], [0.0000, 3.7876, 0.0000], [0.0000, 0.0000, 7.8203]], "species": ["Ba", "Ta", "As", "As"], "fractional_positions": [[0.0000, 0.0000, 0.0000], [0.5000, 0.5000, 0.4810], [0.0000, 0.0000, 0.4254], [0.5000, 0.5000, 0.7861]], "e_form_kj_per_mol_atoms": -22, "dos_at_fermi_per_ev_cell": 3.2, "relative_energy_mev_per_atom": 390, "mass_density_g_cm3": 6.93}

---

# 3
{"formula": "KMoBr", "functional": "PBE-GGA", "state": "optimized geometry", "lattice_angstrom": [[7.7452, 0.0000, 0.0000], [0.0000, 7.7452, 0.0000], [0.0000, 0.0000, 7.7452]], "species": ["K", "K", "K", "K", "Mo", "Mo", "Mo", "Mo", "Br", "Br", "Br", "Br"], "fractional_positions": [[0.0000, 0.0000, 0.0000], [0.0000, 0.5000, 0.5000], [0.5000, 0.0000, 0.5000], [0.5000, 0.5000, 0.0000], [0.0000, 0.0000, 0.5000], [0.0000, 0.5000, 0.0000], [0.5000, 0.0000, 0.0000], [0.5000, 0.5000, 0.5000], [0.2500, 0.2500, 0.7500], [0.2500, 0.7500, 0.2500], [0.7500, 0.2500, 0.2500], [0.7500, 0.7500, 0.7500]], "dos_at_fermi_per_ev_cell": 4.6, "relative_energy_mev_per_atom": 204, "mass_density_g_cm3": 3.07, "formation_energy_uncorrected_kj_per_mol_fu": 247}

---

# 4
{"formula": "SbTeCI2", "functional": "PBE-GGA", "state": "optimized geometry", "lattice_angstrom": [[6.0515, 0.0000, 0.0000], [0.0000, 6.0515, 0.0000], [0.0000, 0.0000, 6.0764]], "species": ["Sb", "Te", "C", "I", "I"], "fractional_positions": [[0.0000, 0.0000, 0.0000], [0.0000, 0.0000, 0.5000], [0.5000, 0.5000, 0.0000], [0.0000, 0.5000, 0.5000], [0.5000, 0.0000, 0.5000]], "dos_at_fermi_per_ev_cell": 9.6, "relative_energy_mev_per_atom": 722, "mass_density_g_cm3": 3.84, "formation_energy_uncorrected_kj_per_mol_fu": 879}

---

# 5
{"formula": "Li4TlBi5", "functional": "PBE-GGA", "state": "optimized geometry", "lattice_angstrom": [[3.3784, 0.0000, 0.0000], [0.0000, 3.3784, 0.0000], [0.0000, 0.0000, 22.4520]], "species": ["Li", "Li", "Li", "Li", "Tl", "Bi", "Bi", "Bi", "Bi", "Bi"], "fractional_positions": [[0.0000, 0.0000, 0.0936], [0.0000, 0.0000, 0.2804], [0.0000, 0.0000, 0.7196], [0.0000, 0.0000, 0.9064], [0.0000, 0.0000, 0.5000], [0.5000, 0.5000, 0.0000], [0.5000, 0.5000, 0.1874], [0.5000, 0.5000, 0.3720], [0.5000, 0.5000, 0.6280], [0.5000, 0.5000, 0.8126]], "e_form_kj_per_mol_atoms": -29, "dos_at_fermi_per_ev_cell": 3.6, "mass_density_g_cm3": 8.28}

---

# 6
{"formula": "Cs2SrTbCl6", "functional": "PBE-GGA", "state": "optimized geometry", "lattice_angstrom": [[7.8999, 0.0000, 0.0000], [0.0000, 11.1671, 0.0000], [0.0000, 0.0000, 7.8877]], "species": ["Cs", "Cs", "Cs", "Cs", "Sr", "Sr", "Tb", "Tb", "Cl", "Cl", "Cl", "Cl", "Cl", "Cl", "Cl", "Cl", "Cl", "Cl", "Cl", "Cl"], "fractional_positions": [[0.2500, 0.0006, 0.2492], [0.2500, 0.4994, 0.2492], [0.7500, 0.5006, 0.7508], [0.7500, 0.9994, 0.7508], [0.2500, 0.7500, 0.7485], [0.7500, 0.2500, 0.2515], [0.2500, 0.2500, 0.7515], [0.7500, 0.7500, 0.2485], [0.0073, 0.2500, 0.5091], [0.0078, 0.2500, 0.9943], [0.2500, 0.0075, 0.7510], [0.2500, 0.4925, 0.7510], [0.4922, 0.2500, 0.9943], [0.4927, 0.2500, 0.5091], [0.5073, 0.7500, 0.4909], [0.5078, 0.7500, 0.0057], [0.7500, 0.5075, 0.2490], [0.7500, 0.9925, 0.2490], [0.9922, 0.7500, 0.0057], [0.9927, 0.7500, 0.4909]], "dos_at_fermi_per_ev_cell": 9.3, "mass_density_g_cm3": 3.46, "formation_energy_uncorrected_kj_per_mol_fu": -2009}

---

# 7
{"formula": "Zr4Ni2H9", "functional": "PBE-GGA", "state": "optimized geometry", "lattice_angstrom": [[5.6032, 0.0000, 0.0000], [1.4640, 5.4221, 0.0000], [1.1841, 0.9668, 8.7420]], "species": ["Zr", "Zr", "Zr", "Zr", "Zr", "Zr", "Zr", "Zr", "Ni", "Ni", "Ni", "Ni", "H", "H", "H", "H", "H", "H", "H", "H", "H", "H", "H", "H", "H", "H", "H", "H", "H", "H"], "fractional_positions": [[0.1661, 0.4964, 0.3384], [0.2480, 0.9244, 0.5794], [0.2486, 0.6025, 0.9207], [0.3207, 0.0173, 0.1663], [0.6793, 0.9827, 0.8337], [0.7514, 0.3975, 0.0793], [0.7520, 0.0756, 0.4206], [0.8339, 0.5036, 0.6616], [0.1503, 0.1479, 0.8490], [0.3726, 0.3737, 0.6267], [0.6274, 0.6263, 0.3733], [0.8497, 0.8521, 0.1510], [0.0013, 0.7481, 0.5015], [0.0075, 0.7574, 0.7490], [0.1211, 0.2899, 0.0026], [0.1503, 0.7476, 0.1426], [0.3354, 0.7723, 0.3637], [0.3483, 0.9299, 0.9427], [0.3727, 0.3842, 0.1230], [0.3775, 0.1280, 0.3792], [0.4235, 0.5991, 0.7016], [0.5765, 0.4009, 0.2984], [0.6225, 0.8720, 0.6208], [0.6273, 0.6158, 0.8770], [0.6517, 0.0701, 0.0573], [0.6646, 0.2277, 0.6363], [0.8497, 0.2524, 0.8574], [0.8789, 0.7101, 0.9974], [0.9925, 0.2426, 0.2510], [0.9987, 0.2519, 0.4985]], "dos_at_fermi_per_ev_cell": 9.4, "mass_density_g_cm3": 6.14, "total_energy_ev_per_atom": -5.532}

---

# 8
{"formula": "GeI2NCl", "functional": "PBE-GGA", "state": "optimized geometry", "lattice_angstrom": [[6.9859, 0.0000, 0.0000], [0.0000, 6.9859, 0.0000], [0.0000, 0.0000, 3.3152]], "species": ["Ge", "I", "I", "N", "Cl"], "fractional_positions": [[0.0000, 0.0000, 0.0000], [0.0000, 0.5000, 0.5000], [0.5000, 0.0000, 0.5000], [0.5000, 0.5000, 0.0000], [0.5000, 0.5000, 0.5000]], "dos_at_fermi_per_ev_cell": 3.5, "relative_energy_mev_per_atom": 553, "mass_density_g_cm3": 3.86, "formation_energy_uncorrected_kj_per_mol_fu": 569}